Record 1
A relaxed ThB2 crystal, computed with PBE-GGA.

abc: 8.0295 8.0295 8.0295
angles: 60.00 60.00 60.00
Element x y z (fractional)
Th: 0.2500 0.2500 0.2500
B: 0.3750 0.3750 0.8750
B: 0.8750 0.3750 0.3750
B: 0.3750 0.3750 0.3750
B: 0.3750 0.8750 0.3750
Th: 0.5000 0.5000 0.5000

Results
- V: 366.1 Å³/cell
- Electronic total energy: -25.9 eV for the cell shown
- Symmetry: Fd-3m


Record 2
A relaxed MgTaSbTe crystal, computed with PBE-GGA.

abc: 5.0488 5.0488 5.0488
angles: 60.00 60.00 60.00
Element x y z (fractional)
Mg: 0.7500 0.7500 0.7500
Sb: 0.5000 0.5000 0.5000
Ta: 0.0000 0.0000 0.0000
Te: 0.2500 0.2500 0.2500

Results
- Polymorph energy (0 for the lowest one): 0.4565 eV per atom
- V: 91.0 Å³/cell
- Symmetry: F-43m


Record 3
A relaxed LuGeAu2 crystal, computed with PBE-GGA.

abc: 4.7999 4.7999 4.7999
angles: 60.00 60.00 60.00
Element x y z (fractional)
Lu: 0.2500 0.2500 0.2500
Au: 0.0000 0.0000 0.0000
Au: 0.7500 0.7500 0.7500
Ge: 0.5000 0.5000 0.5000

Results
- V: 78.2 Å³/cell
- Electronic total energy: -17.6 eV for the cell shown
- Symmetry: F-43m


Record 4
A relaxed LaUBi crystal, computed with PBE-GGA.

abc: 5.1582 5.1582 5.1582
angles: 60.00 60.00 60.00
Element x y z (fractional)
U: 0.0000 0.0000 0.0000
Bi: 0.2500 0.2500 0.2500
La: 0.7500 0.7500 0.7500

Results
- Polymorph energy (0 for the lowest one): 0.0000 eV per atom
- V: 97.0 Å³/cell
- Symmetry: F-43m


Record 5
A relaxed LaCdInSe3 crystal, computed with PBE-GGA.

abc: 14.2914 4.3942 11.8107
angles: 90.00 90.00 90.00
Element x y z (fractional)
Se: 0.8989 0.7500 0.4217
La: 0.9700 0.7500 0.6585
Se: 0.1011 0.2500 0.5783
Se: 0.3989 0.7500 0.0783
In: 0.2548 0.7500 0.5438
Cd: 0.9760 0.2500 0.8999
In: 0.7452 0.2500 0.4562
In: 0.2452 0.2500 0.0438
Se: 0.6558 0.7500 0.2403
La: 0.4700 0.7500 0.8415
In: 0.7548 0.7500 0.9562
Se: 0.4122 0.2500 0.3811
La: 0.0300 0.2500 0.3415
Se: 0.0878 0.7500 0.8811
Se: 0.3442 0.2500 0.7597
Cd: 0.4760 0.2500 0.6001
Cd: 0.5240 0.7500 0.3999
La: 0.5300 0.2500 0.1585
Se: 0.1558 0.7500 0.2597
Cd: 0.0240 0.7500 0.1001
Se: 0.6011 0.2500 0.9217
Se: 0.9122 0.2500 0.1189
Se: 0.8442 0.2500 0.7403
Se: 0.5878 0.7500 0.6189

Results
- Polymorph energy (0 for the lowest one): 0.0155 eV per atom
- V: 741.7 Å³/cell
- Symmetry: Pnma


Record 6
A relaxed NaMo3N5 crystal, computed with PBE-GGA.

abc: 5.0945 5.0945 5.5662
angles: 90.00 90.00 120.00
Element x y z (fractional)
N: 0.6667 0.3333 0.2479
Mo: 0.0000 0.5000 0.5000
Mo: 0.5000 0.5000 0.5000
Na: 0.0000 0.0000 0.0000
N: 0.3333 0.6667 0.2479
N: 0.6667 0.3333 0.7521
N: 0.0000 0.0000 0.5000
Mo: 0.5000 0.0000 0.5000
N: 0.3333 0.6667 0.7521

Results
- V: 125.1 Å³/cell
- Electronic total energy: -69.8 eV for the cell shown
- Symmetry: P6/mmm